Record 1
# Pm2SmBi3 PBE relaxed
# M_tot, μB/f.u.: 0.000
# Crystal system: orthorhombic
# E_form, meV/atom: -936
# V, Å³ per cell: 405.32
data_Pm2SmBi3
_chemical_formula_sum 'Pm4 Sm2 Bi6'
_cell_length_a 4.574
_cell_length_b 6.460
_cell_length_c 13.717
_cell_angle_alpha 90.00
_cell_angle_beta 90.00
_cell_angle_gamma 90.00
_symmetry_space_group_name_H-M 'I m m m'
_symmetry_Int_Tables_number 71
_symmetry_space_group_name_Hall '-I 2 2'
loop_
_atom_site_label
_atom_site_fract_x
_atom_site_fract_y
_atom_site_fract_z
Pm1 0.000 0.000 0.167
Sm1 0.000 0.000 0.500
Bi1 0.000 0.500 0.166
Bi2 0.000 0.500 0.500

***

Record 2
# Pm4SmBi2 PBE relaxed
# M_tot, μB/f.u.: 0.739
# Crystal system: tetragonal
# E_form, meV/atom: 184
# V, Å³ per cell: 510.28
data_Pm4SmBi2
_chemical_formula_sum 'Pm8 Sm2 Bi4'
_cell_length_a 5.445
_cell_length_b 5.445
_cell_length_c 17.212
_cell_angle_alpha 90.00
_cell_angle_beta 90.00
_cell_angle_gamma 90.00
_symmetry_space_group_name_H-M 'I 4/m m m'
_symmetry_Int_Tables_number 139
_symmetry_space_group_name_Hall '-I 4 2'
loop_
_atom_site_label
_atom_site_fract_x
_atom_site_fract_y
_atom_site_fract_z
Pm1 0.000 0.000 0.182
Pm2 0.000 0.500 0.000
Sm1 0.000 0.000 0.000
Bi1 0.000 0.000 0.366

***

Record 3
# Pm3SmBi4 PBE relaxed
# M_tot, μB/f.u.: 0.000
# Crystal system: cubic
# E_form, meV/atom: -943
# V, Å³ per cell: 270.06
data_Pm3SmBi4
_chemical_formula_sum 'Pm3 Sm1 Bi4'
_cell_length_a 6.464
_cell_length_b 6.464
_cell_length_c 6.464
_cell_angle_alpha 90.00
_cell_angle_beta 90.00
_cell_angle_gamma 90.00
_symmetry_space_group_name_H-M 'P m -3 m'
_symmetry_Int_Tables_number 221
_symmetry_space_group_name_Hall '-P 4 2 3'
loop_
_atom_site_label
_atom_site_fract_x
_atom_site_fract_y
_atom_site_fract_z
Pm1 0.000 0.000 0.500
Sm1 0.500 0.500 0.500
Bi1 0.000 0.000 0.000
Bi2 0.000 0.500 0.500

***

Record 4
# PmSm8Bi6 PBE relaxed
# M_tot, μB/f.u.: 0.000
# Crystal system: trigonal
# E_form, meV/atom: -581
# V, Å³ per cell: 1556.01
data_PmSm8Bi6
_chemical_formula_sum 'Pm3 Sm24 Bi18'
_cell_length_a 8.2658
_cell_length_b 8.2658
_cell_length_c 26.2972
_cell_angle_alpha 90.00
_cell_angle_beta 90.00
_cell_angle_gamma 120.00
_symmetry_space_group_name_H-M 'R -3'
_symmetry_Int_Tables_number 148
_symmetry_space_group_name_Hall '-R 3'
loop_
_atom_site_label
_atom_site_fract_x
_atom_site_fract_y
_atom_site_fract_z
Pm1 0.0000 0.0000 0.0000
Sm1 0.0000 0.0000 0.3334
Sm2 0.0004 0.3326 0.1224
Bi1 0.0002 0.3346 0.9332

***

Record 5
# TbPm3Sm2Bi6 PBE relaxed
# M_tot, μB/f.u.: 0.000
# Crystal system: monoclinic
# E_form, meV/atom: -925
# V, Å³ per cell: 803.11
data_TbPm3Sm2Bi6
_chemical_formula_sum 'Tb2 Pm6 Sm4 Bi12'
_cell_length_a 19.858
_cell_length_b 4.559
_cell_length_c 9.113
_cell_angle_alpha 90.00
_cell_angle_beta 103.22
_cell_angle_gamma 90.00
_symmetry_space_group_name_H-M 'C 1 2/m 1'
_symmetry_Int_Tables_number 12
_symmetry_space_group_name_Hall '-C 2y'
loop_
_atom_site_label
_atom_site_fract_x
_atom_site_fract_y
_atom_site_fract_z
Tb1 0.000 0.000 0.000
Pm1 0.000 0.000 0.500
Pm2 0.167 0.500 0.834
Sm1 0.166 0.500 0.333
Bi1 0.000 0.500 0.246
Bi2 0.165 0.000 0.083
Bi3 0.167 0.000 0.583

***

Record 6
# Tb2PmSmBi4 PBE relaxed
# M_tot, μB/f.u.: 0.000
# Crystal system: monoclinic
# E_form, meV/atom: -906
# V, Å³ per cell: 263.15
data_Tb2PmSmBi4
_chemical_formula_sum 'Tb2 Pm1 Sm1 Bi4'
_cell_length_a 7.845
_cell_length_b 4.533
_cell_length_c 7.848
_cell_angle_alpha 90.00
_cell_angle_beta 109.48
_cell_angle_gamma 90.00
_symmetry_space_group_name_H-M 'P 1 2/m 1'
_symmetry_Int_Tables_number 10
_symmetry_space_group_name_Hall '-P 2y'
loop_
_atom_site_label
_atom_site_fract_x
_atom_site_fract_y
_atom_site_fract_z
Tb1 0.000 0.000 0.000
Tb2 0.000 0.500 0.500
Pm1 0.500 0.000 0.500
Sm1 0.500 0.500 0.000
Bi1 0.245 0.000 0.749
Bi2 0.245 0.500 0.248

***

> Number 2 is which compound?

Pm4SmBi2